Material: ScCo2O2
Method: DFT, GGA+U
State: relaxed

abc: 6.4215 6.4215 3.4507
angles: 90.00 90.00 90.00
Closest atoms and distances in Å follow each position.
Fractional positions:
1 Sc 0.0000 0.0000 0.0000  4 Co 2.49
2 Sc 0.5000 0.5000 0.0000  4 Co 2.49
3 Co 0.3613 0.8613 0.0000  2 O 1.77
4 Co 0.8613 0.6387 0.0000  2 O 1.77
5 Co 0.6387 0.1387 0.0000  2 O 1.77
6 Co 0.1387 0.3613 0.0000  2 O 1.77
7 O 0.3165 0.8165 0.5000  2 Co 1.77
8 O 0.8165 0.6835 0.5000  2 Co 1.77
9 O 0.6835 0.1835 0.5000  2 Co 1.77
10 O 0.1835 0.3165 0.5000  2 Co 1.77

Values from the calculation:
polymorph energy (0 for the lowest one): 40.70 kJ/mol of atoms